(1)
Below is TbDyTm5 after structural relaxation, with properties calculated at the PBE level.

Summary:
Total magnetization: 0.0 μB per formula unit
Distance to the lowest polymorph of the same formula: 816 meV/atom
DFT total energy: -48.915 eV/cell

abc: 7.938 11.584 6.076
angles: 90.00 90.00 90.00
Space group Imm2 (No. 44)
Unique sites:
Tb 0.000 0.000 0.000 (multiplicity 2)
Dy 0.000 0.500 0.738 (multiplicity 2)
Tm 0.000 0.257 0.003 (multiplicity 4)
Tm 0.000 0.500 0.260 (multiplicity 2)
Tm 0.180 0.000 0.501 (multiplicity 4)

---

(2)
Below is Tb12DyTm6 after structural relaxation, with properties calculated at the PBE level.

Summary:
Total magnetization: 0.0 μB per formula unit
Distance to the lowest polymorph of the same formula: 97 meV/atom
DFT total energy: -246.712 eV/cell

abc: 14.4993 14.4993 10.2971
angles: 90.00 90.00 120.00
Space group R-3 (No. 148, hexagonal axes)
Unique sites:
Tb 0.0570 0.8030 0.0815 (multiplicity 18)
Tb 0.0646 0.8387 0.4173 (multiplicity 18)
Dy 0.0000 0.0000 0.0000 (multiplicity 3)
Tm 0.0523 0.8354 0.7602 (multiplicity 18)

---

(3)
Below is TbDy2Tm after structural relaxation, with properties calculated at the PBE level.

Summary:
Total magnetization: 0.0 μB per formula unit
Distance to the lowest polymorph of the same formula: 17 meV/atom
DFT total energy: -18.220 eV/cell

abc: 4.985 4.985 4.989
angles: 90.00 90.00 90.00
Space group P4/mmm (No. 123)
Unique sites:
Tb 0.000 0.000 0.000 (multiplicity 1)
Dy 0.000 0.500 0.500 (multiplicity 2)
Tm 0.500 0.500 0.000 (multiplicity 1)

---

(4)
Below is Tb4DyTm after structural relaxation, with properties calculated at the PBE level.

Summary:
Total magnetization: 0.0 μB per formula unit
Distance to the lowest polymorph of the same formula: 0 meV/atom
DFT total energy: -27.487 eV/cell

abc: 3.531 6.130 9.365
angles: 77.33 79.25 73.44
Space group P-1 (No. 2)
Unique sites:
Tb 0.166 0.000 0.168 (multiplicity 2)
Tb 0.166 0.501 0.666 (multiplicity 2)
Dy 0.500 0.500 0.000 (multiplicity 1)
Tm 0.500 0.000 0.500 (multiplicity 1)

---

(5)
Below is TbDy2Tm9 after structural relaxation, with properties calculated at the PBE level.

Summary:
Total magnetization: 0.0 μB per formula unit
Distance to the lowest polymorph of the same formula: 0 meV/atom
DFT total energy: -53.769 eV/cell

abc: 4.946 4.946 14.833
angles: 90.00 90.00 90.00
Space group P4/mmm (No. 123)
Unique sites:
Tb 0.000 0.000 0.000 (multiplicity 1)
Dy 0.000 0.000 0.333 (multiplicity 2)
Tm 0.000 0.500 0.167 (multiplicity 4)
Tm 0.000 0.500 0.500 (multiplicity 2)
Tm 0.500 0.500 0.000 (multiplicity 1)
Tm 0.500 0.500 0.334 (multiplicity 2)

---

(6)
Below is Tb3Dy5Tm4 after structural relaxation, with properties calculated at the PBE level.

Summary:
Total magnetization: 0.4 μB per formula unit
Distance to the lowest polymorph of the same formula: 229 meV/atom
DFT total energy: -103.608 eV/cell

abc: 15.918 5.812 9.178
angles: 90.00 116.54 90.00
Space group C2/m (No. 12)
Unique sites:
Tb 0.000 0.000 0.000 (multiplicity 2)
Tb 0.208 0.500 0.229 (multiplicity 4)
Dy 0.000 0.500 0.000 (multiplicity 2)
Dy 0.075 0.000 0.699 (multiplicity 4)
Dy 0.173 0.000 0.387 (multiplicity 4)
Tm 0.080 0.500 0.439 (multiplicity 4)
Tm 0.213 0.500 0.877 (multiplicity 4)

---

(7)
Below is Tb4Dy2Tm3 after structural relaxation, with properties calculated at the PBE level.

Summary:
Total magnetization: 0.0 μB per formula unit
Distance to the lowest polymorph of the same formula: 0 meV/atom
DFT total energy: -162.783 eV/cell

abc: 9.640 16.680 6.945
angles: 90.00 90.00 90.00
Space group Cccm (No. 66)
Unique sites:
Tb 0.143 0.175 0.000 (multiplicity 8)
Tb 0.166 0.484 0.000 (multiplicity 8)
Dy 0.191 0.159 0.500 (multiplicity 8)
Tm 0.000 0.000 0.250 (multiplicity 4)
Tm 0.000 0.333 0.250 (multiplicity 8)

---

(8)
Below is TbDy7Tm3 after structural relaxation, with properties calculated at the PBE level.

Summary:
Total magnetization: 0.0 μB per formula unit
Distance to the lowest polymorph of the same formula: 51 meV/atom
DFT total energy: -48.116 eV/cell

abc: 7.0036 7.0036 8.5003
angles: 90.00 90.00 120.00
Space group P3m1 (No. 156)
Unique sites:
Tb 0.0000 0.0000 0.0000 (multiplicity 1)
Dy 0.0026 0.5013 0.0057 (multiplicity 3)
Dy 0.3308 0.1654 0.6690 (multiplicity 3)
Dy 0.3333 0.6667 0.6746 (multiplicity 1)
Tm 0.1668 0.3335 0.3375 (multiplicity 3)